K2FeCu after structural relaxation. Source: Alexandria via LeMat-Bulk, functional GGA-PBEsol.

## Properties
Its total energy is -2.7096 eV/atom. The value obtained for the density of states at the Fermi level is 1.071 states/eV/atom. The symmetry is No. 139.

abc: 5.974 5.974 5.974
angles: 137.26 137.26 62.04
Fractional positions:
K: 0.250 0.750 0.500
K: 0.750 0.250 0.500
Fe: 0.000 0.000 0.000
Cu: 0.500 0.500 0.000

---

KFeCuSe2 after structural relaxation. Source: Alexandria via LeMat-Bulk, functional GGA-PBEsol.

## Properties
Its total energy is -4.9120 eV/atom. The value obtained for the density of states at the Fermi level is 0.756 states/eV/atom. The calculation puts the uncorrected formation energy at -0.49 eV/atom. The symmetry is No. 119.

abc: 7.378 7.378 7.378
angles: 149.39 149.39 43.84
Fractional positions:
K: 0.000 0.000 0.000
Fe: 0.250 0.750 0.500
Cu: 0.750 0.250 0.500
Se: 0.358 0.358 0.000
Se: 0.642 0.642 0.000

---

LaFeCu2 after structural relaxation. Source: Alexandria via LeMat-Bulk, functional GGA-PBEsol.

## Properties
Its total energy is -5.4508 eV/atom. The value obtained for the density of states at the Fermi level is 1.048 states/eV/atom. The symmetry is No. 139.

abc: 5.081 5.081 5.081
angles: 135.92 135.92 64.10
Fractional positions:
La: 0.000 0.000 0.000
Fe: 0.500 0.500 0.000
Cu: 0.250 0.750 0.500
Cu: 0.750 0.250 0.500